Entry 1:
Below is a relaxed structure of PmMgZn2Cu2, with properties calculated at the PBE level.

- total energy (eV/atom) = -3.08
- M_tot (μB/atom) = 0.00
- formation energy (eV/atom) = -0.230

```
data_PmMgZn2Cu2
_cell_length_a 4.3571
_cell_length_b 4.3571
_cell_length_c 6.6488
_cell_angle_alpha 90.00
_cell_angle_beta 90.00
_cell_angle_gamma 120.00
_space_group_name_H-M_alt 'P -3 m 1'
_space_group_IT_number 164
_space_group_name_Hall '-P 3 2"'
loop_
_atom_site_label
_atom_site_fract_x
_atom_site_fract_y
_atom_site_fract_z
Pm1 0.0000 0.0000 0.0000
Mg1 0.0000 0.0000 0.5000
Zn1 0.3333 0.6667 0.2945
Cu1 0.3333 0.6667 0.7069
```

***

Entry 2:
Below is a relaxed structure of PmMg2Zn2Cu, with properties calculated at the PBE level.

- total energy (eV/atom) = -2.26
- M_tot (μB/atom) = 0.00
- formation energy (eV/atom) = 0.170

```
data_PmMg2Zn2Cu
_cell_length_a 5.079
_cell_length_b 5.079
_cell_length_c 10.784
_cell_angle_alpha 90.00
_cell_angle_beta 90.00
_cell_angle_gamma 90.00
_space_group_name_H-M_alt 'I 4/m m m'
_space_group_IT_number 139
_space_group_name_Hall '-I 4 2'
loop_
_atom_site_label
_atom_site_fract_x
_atom_site_fract_y
_atom_site_fract_z
Pm1 0.000 0.000 0.000
Mg1 0.000 0.500 0.250
Zn1 0.000 0.000 0.285
Cu1 0.000 0.000 0.500
```

***

Repeat the first record exactly.
Below is a relaxed structure of PmMgZn2Cu2, with properties calculated at the PBE level.

- total energy (eV/atom) = -3.08
- M_tot (μB/atom) = 0.00
- formation energy (eV/atom) = -0.230

```
data_PmMgZn2Cu2
_cell_length_a 4.3571
_cell_length_b 4.3571
_cell_length_c 6.6488
_cell_angle_alpha 90.00
_cell_angle_beta 90.00
_cell_angle_gamma 120.00
_space_group_name_H-M_alt 'P -3 m 1'
_space_group_IT_number 164
_space_group_name_Hall '-P 3 2"'
loop_
_atom_site_label
_atom_site_fract_x
_atom_site_fract_y
_atom_site_fract_z
Pm1 0.0000 0.0000 0.0000
Mg1 0.0000 0.0000 0.5000
Zn1 0.3333 0.6667 0.2945
Cu1 0.3333 0.6667 0.7069
```

***

What is the formula in the first record? PmMgZn2Cu2

***

What is the M_tot in the second record? 0.00 μB/atom